(1)
Entry from Alexandria via LeMat-Bulk: crystalline Cu2PtSe at its relaxed geometry (GGA-PBE).

a = 5.1431 Å, b = 5.1431 Å, c = 4.1358 Å
α = 80.04°, β = 80.04°, γ = 35.36°
Closest atoms and distances in Å follow each position.
Sites, in units of the cell vectors:
Cu1 0.0382 0.0382 0.9331  2 Cu 2.54-2.60, 4 Pt 2.61-2.72, 1 Se 2.62
Cu2 0.1964 0.1964 0.3553  2 Cu 2.54-2.60, 2 Se 2.61, 3 Pt 2.66-2.80
Pt1 0.4728 0.4728 0.4439  2 Se 2.55, 7 Cu 2.61-2.80
Se1 0.7926 0.7926 0.7676  2 Pt 2.55, 3 Cu 2.61-2.62

Output
SG: Cm
Density in g cm⁻³: 10.70
Raw formation energy in eV per atom: 0.032

(2)
Entry from Alexandria via LeMat-Bulk: crystalline LiPr5S8 at its relaxed geometry (GGA-PBE).

a = 7.4639 Å, b = 7.4639 Å, c = 7.4639 Å
α = 109.76°, β = 108.89°, γ = 109.76°
Closest atoms and distances in Å follow each position.
Sites, in units of the cell vectors:
Li1 0.2500 0.5000 0.7500  8 S 2.84-3.18
Pr1 0.0087 0.3774 0.1268  8 S 2.87-3.14
Pr2 0.8732 0.8820 0.2507  8 S 2.87-3.14
Pr3 0.7493 0.6226 0.6313  8 S 2.87-3.14
Pr4 0.5000 0.0000 0.5000  8 S 2.88-3.07
Pr5 0.3687 0.1180 0.9913  8 S 2.87-3.14
S1 0.1317 0.7480 0.0232  1 Li 2.84, 5 Pr 2.87-3.14
S2 0.9768 0.1085 0.7247  1 Li 2.84, 5 Pr 2.87-3.14
S3 0.7592 0.2441 0.3627  5 Pr 2.87-3.10, 1 Li 3.18
S4 0.6373 0.3965 0.8813  5 Pr 2.87-3.10, 1 Li 3.18
S5 0.4848 0.6035 0.2408  5 Pr 2.87-3.10, 1 Li 3.18
S6 0.6162 0.8915 0.8683  1 Li 2.84, 5 Pr 2.87-3.14
S7 0.2753 0.2520 0.3838  1 Li 2.84, 5 Pr 2.87-3.14
S8 0.1187 0.7559 0.5152  5 Pr 2.87-3.10, 1 Li 3.18

Output
SG: I-4
Density in g cm⁻³: 5.02
Raw formation energy in eV per atom: -1.973

(3)
Entry from Alexandria via LeMat-Bulk: crystalline AcZrSc at its relaxed geometry (GGA-PBE).

a = 3.5170 Å, b = 3.5170 Å, c = 8.1928 Å
α = 90.00°, β = 90.00°, γ = 120.00°
Closest atoms and distances in Å follow each position.
Sites, in units of the cell vectors:
Sc1 0.3333 0.6667 0.6441  3 Zr 3.16, 6 Sc 3.52
Ac1 0.0000 0.0000 0.0068  3 Zr 3.46, 6 Ac 3.52, 3 Sc 3.60
Zr1 0.6667 0.3333 0.3491  3 Sc 3.16, 3 Ac 3.46, 6 Zr 3.52

Output
E above lowest polymorph in meV per atom: 45
SG: P3m1
Density in g cm⁻³: 6.87

(4)
Entry from Alexandria via LeMat-Bulk: crystalline Be2Tl2Se3 at its relaxed geometry (GGA-PBE).

a = 3.7631 Å, b = 6.4908 Å, c = 8.0580 Å
α = 68.69°, β = 76.50°, γ = 73.15°
Closest atoms and distances in Å follow each position.
Sites, in units of the cell vectors:
Be1 0.8035 0.3371 0.0558  4 Se 2.27-2.29
Be2 0.1965 0.6629 0.9442  4 Se 2.27-2.29
Tl1 0.5568 0.2061 0.6803  3 Se 3.07-3.44
Tl2 0.4432 0.7939 0.3197  3 Se 3.07-3.44
Se1 0.0000 0.0000 0.0000  2 Be 2.27
Se2 0.7925 0.6248 0.7901  3 Be 2.27-2.29
Se3 0.2075 0.3752 0.2099  3 Be 2.27-2.29

Output
SG: C2/m
Density in g cm⁻³: 6.35
Raw formation energy in eV per atom: -0.547

(5)
Entry from Alexandria via LeMat-Bulk: crystalline Er2ThSb3 at its relaxed geometry (GGA-PBE).

a = 4.4160 Å, b = 6.2604 Å, c = 7.6105 Å
α = 114.29°, β = 106.87°, γ = 90.00°
Closest atoms and distances in Å follow each position.
Sites, in units of the cell vectors:
Er1 0.8353 0.8353 0.1706  6 Sb 3.07-3.13
Er2 0.1647 0.1647 0.8294  6 Sb 3.07-3.13
Th1 0.5000 0.5000 0.5000  6 Sb 3.13-3.17
Sb1 0.8274 0.3274 0.1548  4 Er 3.07-3.13, 2 Th 3.17
Sb2 0.1726 0.6726 0.8452  4 Er 3.07-3.13, 2 Th 3.17
Sb3 0.5000 0.0000 0.5000  4 Er 3.09, 2 Th 3.13

Output
SG: Immm
Density in g cm⁻³: 8.51
Raw formation energy in eV per atom: -1.033

(6)
Entry from Alexandria via LeMat-Bulk: crystalline KMg6Bi4 at its relaxed geometry (GGA-PBE).

a = 4.5237 Å, b = 9.0578 Å, c = 9.0578 Å
α = 120.00°, β = 90.00°, γ = 90.00°
Closest atoms and distances in Å follow each position.
Sites, in units of the cell vectors:
K1 0.0000 0.0000 0.0000  6 Bi 3.70, 6 Mg 3.79
Mg1 0.0000 0.5440 0.0880  5 Bi 3.11-3.30, 2 Mg 3.33
Mg2 0.5000 0.6125 0.8063  4 Bi 2.99-3.15
Mg3 0.0000 0.5440 0.4560  5 Bi 3.11-3.30, 2 Mg 3.33
Mg4 0.0000 0.9120 0.4560  5 Bi 3.11-3.30, 2 Mg 3.33
Mg5 0.5000 0.1937 0.8063  4 Bi 2.99-3.15
Mg6 0.5000 0.1937 0.3875  4 Bi 2.99-3.15
Bi1 0.5000 0.8131 0.6262  6 Mg 2.99-3.11
Bi2 0.5000 0.3738 0.1869  6 Mg 2.99-3.11
Bi3 0.5000 0.8131 0.1869  6 Mg 2.99-3.11
Bi4 0.0000 0.3333 0.6667  9 Mg 3.15-3.30

Output
SG: P-6m2
Density in g cm⁻³: 5.27
E in eV/atom: -2.57

(7)
Entry from Alexandria via LeMat-Bulk: crystalline HoFe10B2 at its relaxed geometry (GGA-PBE).

a = 6.1384 Å, b = 6.1384 Å, c = 7.8713 Å
α = 90.00°, β = 90.00°, γ = 96.79°
Closest atoms and distances in Å follow each position.
Sites, in units of the cell vectors:
Ho1 0.8845 0.1155 0.7500  14 Fe 2.75-2.95
Ho2 0.1155 0.8845 0.2500  14 Fe 2.75-2.95
Fe1 0.4032 0.1121 0.7500  2 B 2.19, 7 Fe 2.39-2.44
Fe2 0.5968 0.8879 0.2500  2 B 2.19, 7 Fe 2.39-2.44
Fe3 0.8879 0.5968 0.7500  2 B 2.19, 7 Fe 2.39-2.44
Fe4 0.1121 0.4032 0.2500  2 B 2.19, 7 Fe 2.39-2.44
Fe5 0.5278 0.7578 0.7500  5 Fe 2.33-2.53, 2 B 2.48
Fe6 0.4722 0.2422 0.2500  5 Fe 2.33-2.53, 2 B 2.48
Fe7 0.2422 0.4722 0.7500  5 Fe 2.33-2.53, 2 B 2.48
Fe8 0.7578 0.5278 0.2500  5 Fe 2.33-2.53, 2 B 2.48
Fe9 0.8338 0.1662 0.4062  2 B 2.30, 6 Fe 2.42-2.54
Fe10 0.1662 0.8338 0.9062  2 B 2.30, 6 Fe 2.42-2.54
Fe11 0.8338 0.1662 0.0938  2 B 2.30, 6 Fe 2.42-2.54
Fe12 0.1662 0.8338 0.5938  2 B 2.30, 6 Fe 2.42-2.54
Fe13 0.6131 0.3869 0.9259  6 Fe 2.38-2.48, 2 B 2.46
Fe14 0.3869 0.6131 0.4259  6 Fe 2.38-2.48, 2 B 2.46
Fe15 0.6131 0.3869 0.5741  6 Fe 2.38-2.48, 2 B 2.46
Fe16 0.3869 0.6131 0.0741  6 Fe 2.38-2.48, 2 B 2.46
Fe17 0.7673 0.7673 0.0000  2 B 2.30, 8 Fe 2.39-2.54
Fe18 0.2327 0.2327 0.5000  2 B 2.30, 8 Fe 2.39-2.54
Fe19 0.2327 0.2327 0.0000  2 B 2.30, 8 Fe 2.39-2.54
Fe20 0.7673 0.7673 0.5000  2 B 2.30, 8 Fe 2.39-2.54
B1 0.5000 0.0000 0.0000  6 Fe 2.19-2.30
B2 0.5000 0.0000 0.5000  6 Fe 2.19-2.30
B3 0.0000 0.5000 0.5000  6 Fe 2.19-2.30
B4 0.0000 0.5000 0.0000  6 Fe 2.19-2.30

Output
SG: Cmcm
Density in g cm⁻³: 8.40
E in eV/atom: -7.95

(8)
Entry from Alexandria via LeMat-Bulk: crystalline Sm2EuAg at its relaxed geometry (GGA-PBE).

a = 5.4949 Å, b = 5.4949 Å, c = 5.4949 Å
α = 60.00°, β = 60.00°, γ = 60.00°
Closest atoms and distances in Å follow each position.
Sites, in units of the cell vectors:
Eu1 0.5000 0.5000 0.5000  8 Sm 3.36
Ag1 0.0000 0.0000 0.0000  8 Sm 3.36
Sm1 0.2500 0.2500 0.2500  4 Eu 3.36, 4 Ag 3.36
Sm2 0.7500 0.7500 0.7500  4 Eu 3.36, 4 Ag 3.36

Output
E above lowest polymorph in meV per atom: 159
SG: Fm-3m
Density in g cm⁻³: 7.93